(one)
A geometry-optimized ZnCoHg3 structure, computed with PBE.

POSCAR file:
```
ZnCoHg3
1.0
5.067 0.000 0.000
0.000 5.067 0.000
0.000 0.000 5.067
Zn Co Hg
1 1 3
Direct
0.000 0.000 0.000
0.500 0.500 0.500
0.000 0.500 0.500
0.500 0.000 0.500
0.500 0.500 0.000
```

Output
Space-group type   No. 221
Total moment   0.8 μB/f.u.



(two)
A geometry-optimized ZnCoHg3 structure, computed with PBE.

POSCAR file:
```
ZnCoHg3
1.0
5.131 0.000 0.000
0.000 5.131 0.000
0.000 0.000 5.131
Zn Co Hg
1 1 3
Direct
0.000 0.000 0.000
0.500 0.500 0.500
0.000 0.000 0.500
0.000 0.500 0.000
0.500 0.000 0.000
```

Output
Space-group type   No. 221
Total moment   2.3 μB/f.u.



Computed relative energies in units of kJ/mol of atoms: (one) 0.0; (two) 36.7